Material: VPd2WO
Method: DFT, GGA+U
State: optimized geometry

Cell and atoms, written as extended XYZ:
```
5
Lattice="4.920 0.000 0.000 0.000 4.920 0.000 0.000 0.000 3.577" Properties=species:S:1:pos:R:3 pbc="T T T"
V 0.000 0.000 0.000
Pd 0.000 2.460 0.000
Pd 2.460 0.000 0.000
W 2.460 2.460 1.788
O 0.000 0.000 1.788
```

Computed properties:
crystal system = tetragonal
raw total energy = -5.6541 eV/atom